Entry 1:
First-principles (PBE) data for crystalline Th8Tc3RuSe4 at its relaxed geometry, as listed in Alexandria.

CIF file:
```
data_Th8Tc3RuSe4
_chemical_formula_sum 'Th24 Tc9 Ru3 Se12'
_cell_length_a 8.2261
_cell_length_b 8.2261
_cell_length_c 22.0026
_cell_angle_alpha 90.00
_cell_angle_beta 90.00
_cell_angle_gamma 120.00
_symmetry_space_group_name_H-M 'R -3 m'
_symmetry_Int_Tables_number 166
_symmetry_space_group_name_Hall '-R 3 2"'
loop_
_atom_site_label
_atom_site_fract_x
_atom_site_fract_y
_atom_site_fract_z
_atom_site_occupancy
Th1 0.0000 0.0000 0.2388 1
Th2 0.0018 0.5009 0.7618 1
Tc1 0.0000 0.5000 0.5000 1
Ru1 0.0000 0.0000 0.5000 1
Se1 0.0000 0.0000 0.0000 1
Se2 0.0000 0.5000 0.0000 1
```

Summary:
The value obtained for the density of states at the Fermi level is 24.692 states/eV/cell. The calculation puts the size of the total moment at 0.000 μB/atom. The formation energy (no corrections) comes out at -13.69 eV/f.u.



Entry 2:
First-principles (PBE) data for crystalline Rb2LiMn at its relaxed geometry, as listed in Alexandria.

CIF file:
```
data_Rb2LiMn
_chemical_formula_sum 'Rb8 Li4 Mn4'
_cell_length_a 9.101
_cell_length_b 9.101
_cell_length_c 9.101
_cell_angle_alpha 90.00
_cell_angle_beta 90.00
_cell_angle_gamma 90.00
_symmetry_space_group_name_H-M 'F m -3 m'
_symmetry_Int_Tables_number 225
_symmetry_space_group_name_Hall '-F 4 2 3'
loop_
_atom_site_label
_atom_site_fract_x
_atom_site_fract_y
_atom_site_fract_z
_atom_site_occupancy
Rb1 0.250 0.250 0.250 1
Li1 0.000 0.000 0.000 1
Mn1 0.000 0.000 0.500 1
```

Summary:
The value obtained for the density of states at the Fermi level is 27.920 states/eV/cell. The calculation puts the size of the total moment at 1.114 μB/atom. For the formation energy, the calculation gives 0.74 eV per atom. The calculation puts the energy relative to the lowest polymorph listed for this composition at 0 meV/atom.



Entry 3:
First-principles (PBE) data for crystalline Ba4Pr at its relaxed geometry, as listed in Alexandria.

CIF file:
```
data_Ba4Pr
_chemical_formula_sum 'Ba4 Pr1'
_cell_length_a 6.720
_cell_length_b 6.720
_cell_length_c 6.720
_cell_angle_alpha 90.00
_cell_angle_beta 90.00
_cell_angle_gamma 90.00
_symmetry_space_group_name_H-M 'P m -3 m'
_symmetry_Int_Tables_number 221
_symmetry_space_group_name_Hall '-P 4 2 3'
loop_
_atom_site_label
_atom_site_fract_x
_atom_site_fract_y
_atom_site_fract_z
_atom_site_occupancy
Ba1 0.000 0.000 0.000 1
Ba2 0.000 0.500 0.500 1
Pr1 0.500 0.500 0.500 1
```

Summary:
The value obtained for the density of states at the Fermi level is 10.226 states/eV/cell. The calculation puts the size of the total moment at 0.000 μB/atom. For the formation energy, the calculation gives 0.38 eV per atom.



Entry 4:
First-principles (PBE) data for crystalline PaMoSe3 at its relaxed geometry, as listed in Alexandria.

CIF file:
```
data_PaMoSe3
_chemical_formula_sum 'Pa4 Mo4 Se12'
_cell_length_a 7.577
_cell_length_b 5.982
_cell_length_c 9.735
_cell_angle_alpha 90.00
_cell_angle_beta 95.39
_cell_angle_gamma 90.00
_symmetry_space_group_name_H-M 'P 1 21/c 1'
_symmetry_Int_Tables_number 14
_symmetry_space_group_name_Hall '-P 2ybc'
loop_
_atom_site_label
_atom_site_fract_x
_atom_site_fract_y
_atom_site_fract_z
_atom_site_occupancy
Pa1 0.199 0.201 0.153 1
Mo1 0.430 0.701 0.569 1
Se1 0.086 0.701 0.111 1
Se2 0.263 0.045 0.899 1
Se3 0.447 0.578 0.832 1
```

Summary:
The value obtained for the density of states at the Fermi level is 16.871 states/eV/cell. The calculation puts the size of the total moment at 0.025 μB/atom. The formation energy (no corrections) comes out at -3.69 eV/f.u.



Entry 5:
First-principles (PBE) data for crystalline HgIr3C at its relaxed geometry, as listed in Alexandria.

CIF file:
```
data_HgIr3C
_chemical_formula_sum 'Hg1 Ir3 C1'
_cell_length_a 4.166
_cell_length_b 4.166
_cell_length_c 4.166
_cell_angle_alpha 90.00
_cell_angle_beta 90.00
_cell_angle_gamma 90.00
_symmetry_space_group_name_H-M 'P m -3 m'
_symmetry_Int_Tables_number 221
_symmetry_space_group_name_Hall '-P 4 2 3'
loop_
_atom_site_label
_atom_site_fract_x
_atom_site_fract_y
_atom_site_fract_z
_atom_site_occupancy
Hg1 0.000 0.000 0.000 1
Ir1 0.000 0.500 0.500 1
C1 0.500 0.500 0.500 1
```

Summary:
The value obtained for the density of states at the Fermi level is 3.623 states/eV/cell. The calculation puts the size of the total moment at 0.000 μB/atom. For the formation energy, the calculation gives 0.52 eV per atom. The calculation puts the energy relative to the lowest polymorph listed for this composition at 0 meV/atom.



Entry 6:
First-principles (PBE) data for crystalline Sc4Pd2RhAu at its relaxed geometry, as listed in Alexandria.

CIF file:
```
data_Sc4Pd2RhAu
_chemical_formula_sum 'Sc12 Pd6 Rh3 Au3'
_cell_length_a 4.6867
_cell_length_b 4.6867
_cell_length_c 23.0305
_cell_angle_alpha 90.00
_cell_angle_beta 90.00
_cell_angle_gamma 120.00
_symmetry_space_group_name_H-M 'R -3 m'
_symmetry_Int_Tables_number 166
_symmetry_space_group_name_Hall '-R 3 2"'
loop_
_atom_site_label
_atom_site_fract_x
_atom_site_fract_y
_atom_site_fract_z
_atom_site_occupancy
Sc1 0.0000 0.0000 0.1211 1
Sc2 0.0000 0.0000 0.3723 1
Pd1 0.0000 0.0000 0.2519 1
Rh1 0.0000 0.0000 0.0000 1
Au1 0.0000 0.0000 0.5000 1
```

Summary:
The value obtained for the density of states at the Fermi level is 16.973 states/eV/cell. The calculation puts the size of the total moment at 0.000 μB/atom. For the formation energy, the calculation gives -0.90 eV per atom.



Entry 7:
First-principles (PBE) data for crystalline LaHfCu3 at its relaxed geometry, as listed in Alexandria.

CIF file:
```
data_LaHfCu3
_chemical_formula_sum 'La1 Hf1 Cu3'
_cell_length_a 4.890
_cell_length_b 4.890
_cell_length_c 4.890
_cell_angle_alpha 90.00
_cell_angle_beta 90.00
_cell_angle_gamma 90.00
_symmetry_space_group_name_H-M 'P m -3 m'
_symmetry_Int_Tables_number 221
_symmetry_space_group_name_Hall '-P 4 2 3'
loop_
_atom_site_label
_atom_site_fract_x
_atom_site_fract_y
_atom_site_fract_z
_atom_site_occupancy
La1 0.000 0.000 0.000 1
Hf1 0.500 0.500 0.500 1
Cu1 0.000 0.000 0.500 1
```

Summary:
The value obtained for the density of states at the Fermi level is 4.734 states/eV/cell. The calculation puts the size of the total moment at 0.000 μB/atom. For the formation energy, the calculation gives 1.22 eV per atom. The calculation puts the energy relative to the lowest polymorph listed for this composition at 736 meV/atom.



Entry 8:
First-principles (PBE) data for crystalline In3Re at its relaxed geometry, as listed in Alexandria.

CIF file:
```
data_In3Re
_chemical_formula_sum 'In6 Re2'
_cell_length_a 2.854
_cell_length_b 4.854
_cell_length_c 13.533
_cell_angle_alpha 90.00
_cell_angle_beta 90.00
_cell_angle_gamma 90.00
_symmetry_space_group_name_H-M 'I m m m'
_symmetry_Int_Tables_number 71
_symmetry_space_group_name_Hall '-I 2 2'
loop_
_atom_site_label
_atom_site_fract_x
_atom_site_fract_y
_atom_site_fract_z
_atom_site_occupancy
In1 0.000 0.000 0.000 1
In2 0.000 0.500 0.185 1
Re1 0.000 0.000 0.500 1
```

Summary:
The value obtained for the density of states at the Fermi level is 4.342 states/eV/cell. The calculation puts the size of the total moment at 0.000 μB/atom. For the formation energy, the calculation gives 0.36 eV per atom. The calculation puts the energy relative to the lowest polymorph listed for this composition at 75 meV/atom.



Entry 9:
First-principles (PBE) data for crystalline U2Se2F at its relaxed geometry, as listed in Alexandria.

CIF file:
```
data_U2Se2F
_chemical_formula_sum 'U6 Se6 F3'
_cell_length_a 3.8503
_cell_length_b 3.8503
_cell_length_c 28.7662
_cell_angle_alpha 90.00
_cell_angle_beta 90.00
_cell_angle_gamma 120.00
_symmetry_space_group_name_H-M 'R -3 m'
_symmetry_Int_Tables_number 166
_symmetry_space_group_name_Hall '-R 3 2"'
loop_
_atom_site_label
_atom_site_fract_x
_atom_site_fract_y
_atom_site_fract_z
_atom_site_occupancy
U1 0.0000 0.0000 0.1211 1
Se1 0.0000 0.0000 0.2714 1
F1 0.0000 0.0000 0.5000 1
```

Summary:
The value obtained for the density of states at the Fermi level is 27.175 states/eV/cell. The calculation puts the size of the total moment at 1.004 μB/atom. The formation energy (no corrections) comes out at -6.20 eV/f.u.



Entry 10:
First-principles (PBE) data for crystalline KSiTeRu2 at its relaxed geometry, as listed in Alexandria.

CIF file:
```
data_KSiTeRu2
_chemical_formula_sum 'K1 Si1 Te1 Ru2'
_cell_length_a 4.545
_cell_length_b 4.545
_cell_length_c 5.394
_cell_angle_alpha 90.00
_cell_angle_beta 90.00
_cell_angle_gamma 90.00
_symmetry_space_group_name_H-M 'P 4/m m m'
_symmetry_Int_Tables_number 123
_symmetry_space_group_name_Hall '-P 4 2'
loop_
_atom_site_label
_atom_site_fract_x
_atom_site_fract_y
_atom_site_fract_z
_atom_site_occupancy
K1 0.000 0.000 0.000 1
Si1 0.000 0.000 0.500 1
Te1 0.500 0.500 0.000 1
Ru1 0.000 0.500 0.500 1
```

Summary:
The value obtained for the density of states at the Fermi level is 5.582 states/eV/cell. The calculation puts the size of the total moment at 0.000 μB/atom. The formation energy (no corrections) comes out at 3.64 eV/f.u.



Entry 11:
First-principles (PBE) data for crystalline KBeH6Pd at its relaxed geometry, as listed in Alexandria.

CIF file:
```
data_KBeH6Pd
_chemical_formula_sum 'K1 Be1 H6 Pd1'
_cell_length_a 4.4773
_cell_length_b 4.4773
_cell_length_c 5.4075
_cell_angle_alpha 90.00
_cell_angle_beta 90.00
_cell_angle_gamma 120.00
_symmetry_space_group_name_H-M 'P 3 1 2'
_symmetry_Int_Tables_number 149
_symmetry_space_group_name_Hall 'P 3 2'
loop_
_atom_site_label
_atom_site_fract_x
_atom_site_fract_y
_atom_site_fract_z
_atom_site_occupancy
K1 0.0000 0.0000 0.0000 1
Be1 0.6667 0.3333 0.5000 1
H1 0.4390 0.0154 0.3135 1
Pd1 0.3333 0.6667 0.5000 1
```

Summary:
The value obtained for the density of states at the Fermi level is 1.688 states/eV/cell. The calculation puts the size of the total moment at 0.000 μB/atom. Its total DFT energy (no corrections) is -30.78 eV for the cell shown.



Entry 12:
First-principles (PBE) data for crystalline RbDy2Au2O6 at its relaxed geometry, as listed in Alexandria.

CIF file:
```
data_RbDy2Au2O6
_chemical_formula_sum 'Rb1 Dy2 Au2 O6'
_cell_length_a 6.088
_cell_length_b 6.408
_cell_length_c 7.790
_cell_angle_alpha 69.03
_cell_angle_beta 87.67
_cell_angle_gamma 63.11
_symmetry_space_group_name_H-M 'P -1'
_symmetry_Int_Tables_number 2
_symmetry_space_group_name_Hall '-P 1'
loop_
_atom_site_label
_atom_site_fract_x
_atom_site_fract_y
_atom_site_fract_z
_atom_site_occupancy
Rb1 0.000 0.000 0.000 1
Dy1 0.178 0.669 0.523 1
Au1 0.378 0.089 0.632 1
O1 0.066 0.359 0.694 1
O2 0.163 0.921 0.655 1
O3 0.450 0.716 0.344 1
```

Summary:
The value obtained for the density of states at the Fermi level is 4.132 states/eV/cell. The calculation puts the size of the total moment at 0.095 μB/atom. The formation energy (no corrections) comes out at -18.54 eV/f.u.



What is the formula in the first record? Th8Tc3RuSe4